{"formula": "AgPbIN2", "functional": "PBE", "state": "relaxed", "crystal_system": "tetragonal", "magnetic_moment_mub_per_cell": 2.86, "lattice": [[4.407, 0.000, 0.000], [0.000, 4.407, 0.000], [0.000, 0.000, 6.457]], "species": ["Ag", "Pb", "I", "N", "N"], "frac_coords": [[0.000, 0.000, 0.000], [0.500, 0.500, 0.500], [0.000, 0.000, 0.500], [0.000, 0.500, 0.000], [0.500, 0.000, 0.000]]}

=====

{"formula": "AgPdIN2", "functional": "PBE", "state": "relaxed", "crystal_system": "tetragonal", "magnetic_moment_mub_per_cell": 0.00, "lattice": [[3.899, 0.000, 0.000], [0.000, 3.899, 0.000], [0.000, 0.000, 8.237]], "species": ["Ag", "Pd", "I", "N", "N"], "frac_coords": [[0.000, 0.000, 0.000], [0.500, 0.500, 0.500], [0.500, 0.500, 0.000], [0.000, 0.500, 0.500], [0.500, 0.000, 0.500]]}

=====

Number 1: uncorrected formation energy 1.618 eV per atom, E above lowest polymorph 116.3 meV/atom, E_tot -16.7 eV per cell. Number 2: uncorrected formation energy 1.354 eV per atom, E above lowest polymorph 0.0 meV/atom, E_tot -19.5 eV per cell.